1.
5
Lattice="5.256 0.000 0.000 0.000 5.256 0.000 0.000 0.000 5.051" Properties=species:S:1:pos:R:3 comment="SrCaMnCd2 | Alexandria | PBE | optimized geometry" e_form_ev_per_fu=2.211 magmom_total_mub_per_atom=0.0107 space_group="P4/mmm (123)" pbc="T T T"
Sr 0.000 0.000 0.000
Ca 2.628 2.628 0.000
Mn 0.000 0.000 2.525
Cd 0.000 2.628 2.525
Cd 2.628 0.000 2.525

2.
5
Lattice="4.956 0.000 0.000 0.000 4.956 0.000 0.000 0.000 4.725" Properties=species:S:1:pos:R:3 comment="CaMnCdTc2 | Alexandria | PBE | optimized geometry" e_form_ev_per_fu=10.210 magmom_total_mub_per_atom=0.0745 space_group="P4/mmm (123)" pbc="T T T"
Ca 0.000 0.000 0.000
Mn 2.478 2.478 0.000
Cd 2.478 2.478 2.363
Tc 0.000 2.478 2.363
Tc 2.478 0.000 2.363

3.
5
Lattice="5.033 0.000 0.000 0.000 5.033 0.000 0.000 0.000 4.905" Properties=species:S:1:pos:R:3 comment="CaMnZnCd2 | Alexandria | PBE | optimized geometry" e_form_ev_per_fu=1.268 magmom_total_mub_per_atom=0.7605 space_group="P4/mmm (123)" pbc="T T T"
Ca 0.000 0.000 0.000
Mn 2.516 2.516 0.000
Zn 2.516 2.516 2.452
Cd 0.000 2.516 2.452
Cd 2.516 0.000 2.452

4.
5
Lattice="4.675 0.000 0.000 0.000 4.675 0.000 0.000 0.000 4.675" Properties=species:S:1:pos:R:3 comment="CaCdMo3 | Alexandria | PBE | optimized geometry" e_form_ev_per_fu=12.323 magmom_total_mub_per_atom=0.0000 space_group="Pm-3m (221)" de_polymorph_ev_per_atom=0.293 pbc="T T T"
Ca 0.000 0.000 0.000
Cd 2.338 2.338 2.338
Mo 0.000 0.000 2.338
Mo 0.000 2.338 0.000
Mo 2.338 0.000 0.000